Record 1
ZnB3H3O7: optimized geometry, PBE.

Properties
- raw total energy (eV/atom) = -6.517
- crystal system = monoclinic
- theoretical density (g cm⁻³) = 2.7

```
ZnB3H3O7
1.0
6.980 0.000 0.000
0.000 10.062 0.000
-5.666 0.000 7.384
Zn B H O
4 12 12 28
Direct
0.219 0.245 0.152
0.219 0.255 0.652
0.781 0.745 0.348
0.781 0.755 0.848
0.195 0.506 0.283
0.195 0.994 0.783
0.268 0.727 0.220
0.268 0.773 0.720
0.340 0.684 0.502
0.340 0.816 0.002
0.660 0.184 0.998
0.660 0.316 0.498
0.732 0.227 0.280
0.732 0.273 0.780
0.805 0.006 0.217
0.805 0.494 0.717
0.037 0.171 0.831
0.037 0.329 0.331
0.232 0.502 0.634
0.232 0.998 0.134
0.476 0.046 0.308
0.476 0.454 0.808
0.524 0.546 0.192
0.524 0.954 0.692
0.768 0.002 0.866
0.768 0.498 0.366
0.963 0.671 0.669
0.963 0.829 0.169
0.026 0.716 0.601
0.026 0.784 0.101
0.130 0.122 0.749
0.130 0.378 0.249
0.215 0.565 0.431
0.215 0.935 0.931
0.257 0.581 0.194
0.257 0.919 0.694
0.299 0.054 0.242
0.299 0.446 0.742
0.385 0.738 0.909
0.385 0.762 0.409
0.424 0.716 0.677
0.424 0.784 0.177
0.576 0.216 0.823
0.576 0.284 0.323
0.615 0.238 0.591
0.615 0.262 0.091
0.701 0.554 0.258
0.701 0.946 0.758
0.743 0.081 0.306
0.743 0.419 0.806
0.785 0.065 0.069
0.785 0.435 0.569
0.870 0.622 0.751
0.870 0.878 0.251
0.974 0.216 0.899
0.974 0.284 0.399
```

Record 2
PrB3H12: optimized geometry, PBE.

Properties
- raw total energy (eV/atom) = -4.342
- crystal system = trigonal
- theoretical density (g cm⁻³) = 2.3

```
PrB3H12
1.0
3.454 1.994 6.560
-3.454 1.994 6.560
0.000 -3.989 6.560
Pr B H
2 6 24
Direct
0.000 0.000 0.000
0.500 0.500 0.500
0.091 0.750 0.409
0.250 0.591 0.909
0.409 0.091 0.750
0.591 0.909 0.250
0.750 0.409 0.091
0.909 0.250 0.591
0.071 0.714 0.597
0.081 0.739 0.851
0.097 0.214 0.571
0.149 0.919 0.261
0.214 0.571 0.097
0.239 0.581 0.351
0.261 0.149 0.919
0.286 0.403 0.929
0.351 0.239 0.581
0.403 0.929 0.286
0.419 0.649 0.761
0.429 0.903 0.786
0.571 0.097 0.214
0.581 0.351 0.239
0.597 0.071 0.714
0.649 0.761 0.419
0.714 0.597 0.071
0.739 0.851 0.081
0.761 0.419 0.649
0.786 0.429 0.903
0.851 0.081 0.739
0.903 0.786 0.429
0.919 0.261 0.149
0.929 0.286 0.403
```

Record 3
RbSmB3H12: optimized geometry, PBE.

Properties
- raw total energy (eV/atom) = -4.190
- crystal system = orthorhombic
- theoretical density (g cm⁻³) = 2.7

```
RbSmB3H12
1.0
7.749 0.000 0.000
0.000 7.654 0.000
0.000 0.000 11.451
Rb Sm B H
4 4 12 48
Direct
0.016 0.008 0.000
0.484 0.508 0.500
0.516 0.492 0.000
0.984 0.992 0.500
0.000 0.499 0.752
0.000 0.501 0.252
0.500 0.001 0.752
0.500 0.999 0.252
0.017 0.494 0.002
0.187 0.814 0.252
0.189 0.811 0.749
0.311 0.311 0.249
0.313 0.314 0.752
0.483 0.994 0.502
0.517 0.006 0.002
0.687 0.686 0.252
0.689 0.689 0.749
0.811 0.189 0.249
0.813 0.186 0.752
0.983 0.506 0.502
0.024 0.379 0.563
0.030 0.809 0.233
0.036 0.808 0.777
0.071 0.374 0.064
0.108 0.559 0.447
0.132 0.548 0.936
0.210 0.942 0.688
0.212 0.941 0.315
0.222 0.323 0.339
0.230 0.681 0.692
0.234 0.332 0.660
0.237 0.681 0.303
0.263 0.181 0.803
0.266 0.832 0.160
0.270 0.181 0.192
0.278 0.823 0.839
0.288 0.441 0.815
0.290 0.442 0.188
0.368 0.048 0.436
0.392 0.059 0.947
0.429 0.874 0.564
0.464 0.308 0.277
0.470 0.309 0.733
0.476 0.879 0.063
0.524 0.121 0.563
0.530 0.691 0.233
0.536 0.692 0.777
0.571 0.126 0.064
0.608 0.941 0.447
0.632 0.952 0.936
0.710 0.558 0.688
0.712 0.559 0.315
0.722 0.177 0.339
0.730 0.819 0.692
0.734 0.168 0.660
0.737 0.819 0.303
0.763 0.319 0.803
0.766 0.668 0.160
0.770 0.319 0.192
0.778 0.677 0.839
0.788 0.059 0.815
0.790 0.058 0.188
0.868 0.452 0.436
0.892 0.441 0.947
0.929 0.626 0.564
0.964 0.192 0.277
0.970 0.191 0.733
0.976 0.621 0.063
```

Record 4
UB4H16: optimized geometry, PBE.

Properties
- raw total energy (eV/atom) = -4.516
- crystal system = orthorhombic
- theoretical density (g cm⁻³) = 2.9

```
UB4H16
1.0
3.875 -3.872 0.000
3.875 3.872 0.000
0.000 0.000 11.272
U B H
2 8 32
Direct
0.209 0.791 0.750
0.791 0.209 0.250
0.137 0.294 0.750
0.275 0.725 0.534
0.275 0.725 0.966
0.294 0.137 0.250
0.706 0.863 0.750
0.725 0.275 0.034
0.725 0.275 0.466
0.863 0.706 0.250
0.035 0.559 0.250
0.063 0.678 0.568
0.063 0.678 0.932
0.125 0.171 0.659
0.125 0.171 0.841
0.171 0.125 0.159
0.171 0.125 0.341
0.307 0.693 0.069
0.307 0.693 0.431
0.322 0.937 0.568
0.322 0.937 0.932
0.338 0.398 0.750
0.398 0.338 0.250
0.405 0.595 0.600
0.405 0.595 0.900
0.441 0.965 0.250
0.559 0.035 0.750
0.595 0.405 0.100
0.595 0.405 0.400
0.602 0.662 0.750
0.662 0.602 0.250
0.678 0.063 0.068
0.678 0.063 0.432
0.693 0.307 0.569
0.693 0.307 0.931
0.829 0.875 0.659
0.829 0.875 0.841
0.875 0.829 0.159
0.875 0.829 0.341
0.937 0.322 0.068
0.937 0.322 0.432
0.965 0.441 0.750
```

Record 5
UB4H16: optimized geometry, PBE.

Properties
- raw total energy (eV/atom) = -4.521
- crystal system = tetragonal
- theoretical density (g cm⁻³) = 2.9

```
UB4H16
1.0
7.233 0.000 0.000
0.000 7.233 0.000
0.000 0.000 12.843
U B H
4 16 64
Direct
0.067 0.067 0.000
0.433 0.567 0.750
0.567 0.433 0.250
0.933 0.933 0.500
0.074 0.782 0.105
0.162 0.708 0.622
0.208 0.338 0.872
0.218 0.926 0.395
0.282 0.426 0.355
0.292 0.838 0.878
0.338 0.208 0.128
0.426 0.282 0.645
0.574 0.718 0.145
0.662 0.792 0.628
0.708 0.162 0.378
0.718 0.574 0.855
0.782 0.074 0.895
0.792 0.662 0.372
0.838 0.292 0.122
0.926 0.218 0.605
0.005 0.235 0.519
0.010 0.088 0.648
0.049 0.643 0.561
0.079 0.642 0.155
0.088 0.010 0.352
0.122 0.847 0.871
0.127 0.645 0.709
0.142 0.421 0.405
0.143 0.451 0.811
0.145 0.373 0.959
0.151 0.771 0.414
0.153 0.878 0.629
0.166 0.182 0.841
0.182 0.166 0.159
0.229 0.849 0.086
0.235 0.005 0.481
0.265 0.505 0.269
0.271 0.349 0.664
0.318 0.666 0.591
0.334 0.682 0.909
0.347 0.378 0.121
0.349 0.271 0.336
0.355 0.873 0.791
0.357 0.951 0.939
0.358 0.921 0.345
0.373 0.145 0.041
0.378 0.347 0.879
0.412 0.510 0.398
0.421 0.142 0.595
0.451 0.143 0.189
0.490 0.588 0.102
0.495 0.735 0.231
0.505 0.265 0.731
0.510 0.412 0.602
0.549 0.857 0.689
0.579 0.858 0.095
0.588 0.490 0.898
0.622 0.653 0.379
0.627 0.855 0.541
0.642 0.079 0.845
0.643 0.049 0.439
0.645 0.127 0.291
0.651 0.729 0.836
0.653 0.622 0.621
0.666 0.318 0.409
0.682 0.334 0.091
0.729 0.651 0.164
0.735 0.495 0.769
0.765 0.995 0.981
0.771 0.151 0.586
0.818 0.834 0.659
0.834 0.818 0.341
0.847 0.122 0.129
0.849 0.229 0.914
0.855 0.627 0.459
0.857 0.549 0.311
0.858 0.579 0.905
0.873 0.355 0.209
0.878 0.153 0.371
0.912 0.990 0.852
0.921 0.358 0.655
0.951 0.357 0.061
0.990 0.912 0.148
0.995 0.765 0.019
```

Record 6
ZnB2H8: optimized geometry, PBE.

Properties
- raw total energy (eV/atom) = -3.835
- crystal system = tetragonal
- theoretical density (g cm⁻³) = 1.1

```
ZnB2H8
1.0
-3.382 3.382 6.025
3.382 -3.382 6.025
3.382 3.382 -6.025
Zn B H
2 4 16
Direct
0.000 0.000 0.000
0.750 0.250 0.500
0.375 0.061 0.186
0.811 0.125 0.186
0.875 0.189 0.814
0.939 0.625 0.814
0.006 0.213 0.308
0.031 0.308 0.064
0.033 0.756 0.064
0.058 0.494 0.777
0.244 0.967 0.936
0.302 0.095 0.308
0.448 0.256 0.294
0.506 0.942 0.223
0.692 0.969 0.936
0.717 0.281 0.223
0.719 0.283 0.777
0.744 0.552 0.706
0.787 0.994 0.692
0.845 0.037 0.294
0.905 0.698 0.692
0.963 0.155 0.706
```

Record 7
HfB2: optimized geometry, PBE.

Properties
- raw total energy (eV/atom) = -8.794
- crystal system = hexagonal
- theoretical density (g cm⁻³) = 11.2

```
HfB2
1.0
3.144 0.000 0.000
-1.572 2.722 0.000
0.000 0.000 3.482
Hf B
1 2
Direct
0.000 0.000 0.000
0.333 0.667 0.500
0.667 0.333 0.500
```

Record 8
HfB12: optimized geometry, PBE.

Properties
- raw total energy (eV/atom) = -7.124
- crystal system = cubic
- theoretical density (g cm⁻³) = 5.1

```
HfB12
1.0
0.000 3.684 3.684
3.684 0.000 3.684
3.684 3.684 0.000
Hf B
1 12
Direct
0.000 0.000 0.000
0.161 0.500 0.500
0.161 0.500 0.839
0.161 0.839 0.500
0.500 0.161 0.500
0.500 0.161 0.839
0.500 0.500 0.161
0.500 0.500 0.839
0.500 0.839 0.161
0.500 0.839 0.500
0.839 0.161 0.500
0.839 0.500 0.161
0.839 0.500 0.500
```